# 1
An optimized crystal structure of GdMgCo2, computed with PBE.

Output
- Fermi-level density of states (states/eV/atom) = 0.842
- mass density (g/cm³) = 7.60
- space group = No. 225
- volume (Å³ per cell) = 65.4
- E_form (meV per atom) = 59

Cell: 4.5226 4.5226 4.5226 Å, 60.00 60.00 60.00°
Positions (direct):
Gd 0.0000 0.0000 0.0000
Mg 0.5000 0.5000 0.5000
Co 0.2500 0.2500 0.2500
Co 0.7500 0.7500 0.7500

***

# 2
An optimized crystal structure of Gd3MgCo, computed with PBE.

Output
- Fermi-level density of states (states/eV/atom) = 1.270
- mass density (g/cm³) = 6.37
- space group = No. 221
- volume (Å³ per cell) = 144.7
- E_form (meV per atom) = -56

Cell: 5.2503 5.2503 5.2503 Å, 90.00 90.00 90.00°
Positions (direct):
Gd 0.0000 0.0000 0.5000
Gd 0.0000 0.5000 0.0000
Gd 0.5000 0.0000 0.0000
Mg 0.5000 0.5000 0.5000
Co 0.0000 0.0000 0.0000

***

# 3
An optimized crystal structure of Gd2MgCo, computed with PBE.

Output
- ΔE to the lowest computed polymorph (meV per atom) = 237
- Fermi-level density of states (states/eV/atom) = 0.576
- mass density (g/cm³) = 5.50
- space group = No. 166
- volume (Å³ per cell) = 120.2
- E_form (meV per atom) = 121

Cell: 10.1765 10.1765 10.1765 Å, 21.15 21.15 21.15°
Positions (direct):
Gd 0.1156 0.1156 0.1156
Gd 0.8844 0.8844 0.8844
Mg 0.0000 0.0000 0.0000
Co 0.5000 0.5000 0.5000

***

# 4
An optimized crystal structure of Gd2MgCo, computed with PBE.

Output
- ΔE to the lowest computed polymorph (meV per atom) = 0
- Fermi-level density of states (states/eV/atom) = 1.057
- mass density (g/cm³) = 6.91
- space group = No. 123
- volume (Å³ per cell) = 95.6
- E_form (meV per atom) = -115

Cell: 3.4228 3.4228 8.1583 Å, 90.00 90.00 90.00°
Positions (direct):
Gd 0.0000 0.0000 0.2020
Gd 0.0000 0.0000 0.7980
Mg 0.5000 0.5000 0.5000
Co 0.5000 0.5000 0.0000

***

# 5
An optimized crystal structure of GdMgCo4, computed with PBE.

Output
- Fermi-level density of states (states/eV/atom) = 1.314
- mass density (g/cm³) = 7.92
- space group = No. 216
- volume (Å³ per cell) = 87.5
- E_form (meV per atom) = -140

Cell: 4.9833 4.9833 4.9833 Å, 60.00 60.00 60.00°
Positions (direct):
Gd 0.0000 0.0000 0.0000
Mg 0.7500 0.7500 0.7500
Co 0.3758 0.3758 0.3758
Co 0.3758 0.3758 0.8727
Co 0.3758 0.8727 0.3758
Co 0.8727 0.3758 0.3758

***

# 6
An optimized crystal structure of GdMgCoNi, computed with PBE.

Output
- Fermi-level density of states (states/eV/atom) = 0.750
- mass density (g/cm³) = 7.36
- space group = No. 216
- volume (Å³ per cell) = 67.5
- E_form (meV per atom) = -86

Cell: 4.5700 4.5700 4.5700 Å, 60.00 60.00 60.00°
Positions (direct):
Gd 0.0000 0.0000 0.0000
Mg 0.5000 0.5000 0.5000
Co 0.2500 0.2500 0.2500
Ni 0.7500 0.7500 0.7500

***

no.,calculated total energy (eV/atom)
1,-7.41
2,-10.24
3,-9.09
4,-9.33
5,-7.49
6,-7.23